[1]
VASP calculation (GGA-PBE) on a geometry-optimized AlRe2Hg structure.

CIF file:
```
data_AlRe2Hg
_chemical_formula_sum 'Al1 Re2 Hg1'
_cell_length_a 4.522
_cell_length_b 4.522
_cell_length_c 3.104
_cell_angle_alpha 90.00
_cell_angle_beta 90.00
_cell_angle_gamma 90.00
_symmetry_space_group_name_H-M 'P 4/m m m'
_symmetry_Int_Tables_number 123
_symmetry_space_group_name_Hall '-P 4 2'
loop_
_atom_site_label
_atom_site_type_symbol
_atom_site_fract_x
_atom_site_fract_y
_atom_site_fract_z
_atom_site_occupancy
Al1 Al 0.000 0.000 0.000 1
Re1 Re 0.000 0.500 0.500 1
Hg1 Hg 0.500 0.500 0.000 1
```

ΔE to the lowest computed polymorph (eV per atom): 0.539
ΔH_f (0 K) (kJ/mol of atoms): 66.8
M_tot (μB/atom): 0.000



[2]
VASP calculation (GGA-PBE) on a geometry-optimized AcHgBi2O4 structure.

CIF file:
```
data_AcHgBi2O4
_chemical_formula_sum 'Ac1 Hg1 Bi2 O4'
_cell_length_a 4.224
_cell_length_b 4.224
_cell_length_c 8.923
_cell_angle_alpha 90.00
_cell_angle_beta 90.00
_cell_angle_gamma 90.00
_symmetry_space_group_name_H-M 'P 4/m m m'
_symmetry_Int_Tables_number 123
_symmetry_space_group_name_Hall '-P 4 2'
loop_
_atom_site_label
_atom_site_type_symbol
_atom_site_fract_x
_atom_site_fract_y
_atom_site_fract_z
_atom_site_occupancy
Ac1 Ac 0.000 0.000 0.000 1
Hg1 Hg 0.000 0.000 0.500 1
Bi1 Bi 0.500 0.500 0.279 1
O1 O 0.000 0.500 0.174 1
```

Total DFT energy (no corrections) (eV/atom): -5.64
M_tot (μB/atom): 0.000



[3]
VASP calculation (GGA-PBE) on a geometry-optimized Sm3Mg2Hg6 structure.

CIF file:
```
data_Sm3Mg2Hg6
_chemical_formula_sum 'Sm6 Mg4 Hg12'
_cell_length_a 4.560
_cell_length_b 4.560
_cell_length_c 27.315
_cell_angle_alpha 90.00
_cell_angle_beta 90.00
_cell_angle_gamma 90.00
_symmetry_space_group_name_H-M 'I 4/m m m'
_symmetry_Int_Tables_number 139
_symmetry_space_group_name_Hall '-I 4 2'
loop_
_atom_site_label
_atom_site_type_symbol
_atom_site_fract_x
_atom_site_fract_y
_atom_site_fract_z
_atom_site_occupancy
Sm1 Sm 0.000 0.000 0.000 1
Sm2 Sm 0.000 0.000 0.198 1
Mg1 Mg 0.000 0.000 0.450 1
Hg1 Hg 0.000 0.000 0.312 1
Hg2 Hg 0.000 0.500 0.108 1
```

ΔH_f (0 K) (kJ/mol of atoms): -26.2
M_tot (μB/atom): 0.000



[4]
VASP calculation (GGA-PBE) on a geometry-optimized Li2TlCdF8 structure.

CIF file:
```
data_Li2TlCdF8
_chemical_formula_sum 'Li4 Tl2 Cd2 F16'
_cell_length_a 6.820
_cell_length_b 6.820
_cell_length_c 7.082
_cell_angle_alpha 90.00
_cell_angle_beta 90.00
_cell_angle_gamma 90.00
_symmetry_space_group_name_H-M 'I -4 m 2'
_symmetry_Int_Tables_number 119
_symmetry_space_group_name_Hall 'I -4 -2'
loop_
_atom_site_label
_atom_site_type_symbol
_atom_site_fract_x
_atom_site_fract_y
_atom_site_fract_z
_atom_site_occupancy
Li1 Li 0.000 0.000 0.000 1
Li2 Li 0.000 0.500 0.250 1
Tl1 Tl 0.000 0.000 0.500 1
Cd1 Cd 0.000 0.500 0.750 1
F1 F 0.000 0.182 0.797 1
F2 F 0.000 0.314 0.447 1
```

Total DFT energy (no corrections) (eV/atom): -3.94
M_tot (μB/atom): 0.081



[5]
VASP calculation (GGA-PBE) on a geometry-optimized Sm3Ho4Bi8 structure.

CIF file:
```
data_Sm3Ho4Bi8
_chemical_formula_sum 'Sm6 Ho8 Bi16'
_cell_length_a 12.689
_cell_length_b 12.700
_cell_length_c 8.949
_cell_angle_alpha 90.00
_cell_angle_beta 134.78
_cell_angle_gamma 90.00
_symmetry_space_group_name_H-M 'C 1 2/m 1'
_symmetry_Int_Tables_number 12
_symmetry_space_group_name_Hall '-C 2y'
loop_
_atom_site_label
_atom_site_type_symbol
_atom_site_fract_x
_atom_site_fract_y
_atom_site_fract_z
_atom_site_occupancy
Sm1 Sm 0.000 0.000 0.000 1
Sm2 Sm 0.250 0.250 0.000 1
Ho1 Ho 0.000 0.500 0.000 1
Ho2 Ho 0.000 0.500 0.500 1
Ho3 Ho 0.250 0.250 0.500 1
Bi1 Bi 0.000 0.247 0.500 1
Bi2 Bi 0.000 0.252 0.000 1
Bi3 Bi 0.250 0.000 0.505 1
Bi4 Bi 0.250 0.000 0.996 1
```

ΔH_f (0 K) (kJ/mol of atoms): -65.7
M_tot (μB/atom): 0.000



[6]
VASP calculation (GGA-PBE) on a geometry-optimized SbHClO2 structure.

CIF file:
```
data_SbHClO2
_chemical_formula_sum 'Sb2 H2 Cl2 O4'
_cell_length_a 6.079
_cell_length_b 4.032
_cell_length_c 7.202
_cell_angle_alpha 90.00
_cell_angle_beta 98.73
_cell_angle_gamma 90.00
_symmetry_space_group_name_H-M 'P 1 21/m 1'
_symmetry_Int_Tables_number 11
_symmetry_space_group_name_Hall '-P 2yb'
loop_
_atom_site_label
_atom_site_type_symbol
_atom_site_fract_x
_atom_site_fract_y
_atom_site_fract_z
_atom_site_occupancy
Sb1 Sb 0.186 0.250 0.410 1
H1 H 0.112 0.250 0.054 1
Cl1 Cl 0.488 0.250 0.733 1
O1 O 0.017 0.250 0.152 1
O2 O 0.103 0.750 0.470 1
```

Total DFT energy (no corrections) (eV/atom): -4.79
M_tot (μB/atom): 0.098



[7]
VASP calculation (GGA-PBE) on a geometry-optimized OsAuI2O structure.

CIF file:
```
data_OsAuI2O
_chemical_formula_sum 'Os1 Au1 I2 O1'
_cell_length_a 5.575
_cell_length_b 5.575
_cell_length_c 3.737
_cell_angle_alpha 90.00
_cell_angle_beta 90.00
_cell_angle_gamma 90.00
_symmetry_space_group_name_H-M 'P 4/m m m'
_symmetry_Int_Tables_number 123
_symmetry_space_group_name_Hall '-P 4 2'
loop_
_atom_site_label
_atom_site_type_symbol
_atom_site_fract_x
_atom_site_fract_y
_atom_site_fract_z
_atom_site_occupancy
Os1 Os 0.000 0.000 0.000 1
Au1 Au 0.500 0.500 0.500 1
I1 I 0.000 0.500 0.000 1
O1 O 0.000 0.000 0.500 1
```

ΔE to the lowest computed polymorph (eV per atom): 0.000
M_tot (μB/atom): 0.000



[8]
VASP calculation (GGA-PBE) on a geometry-optimized TbZrGaAu structure.

CIF file:
```
data_TbZrGaAu
_chemical_formula_sum 'Tb4 Zr4 Ga4 Au4'
_cell_length_a 7.032
_cell_length_b 7.032
_cell_length_c 7.032
_cell_angle_alpha 90.00
_cell_angle_beta 90.00
_cell_angle_gamma 90.00
_symmetry_space_group_name_H-M 'F -4 3 m'
_symmetry_Int_Tables_number 216
_symmetry_space_group_name_Hall 'F -4 2 3'
loop_
_atom_site_label
_atom_site_type_symbol
_atom_site_fract_x
_atom_site_fract_y
_atom_site_fract_z
_atom_site_occupancy
Tb1 Tb 0.000 0.000 0.000 1
Zr1 Zr 0.000 0.000 0.500 1
Ga1 Ga 0.250 0.250 0.750 1
Au1 Au 0.250 0.250 0.250 1
```

ΔH_f (0 K) (kJ/mol of atoms): -48.8
M_tot (μB/atom): 0.254



[9]
VASP calculation (GGA-PBE) on a geometry-optimized CdIn6 structure.

CIF file:
```
data_CdIn6
_chemical_formula_sum 'Cd2 In12'
_cell_length_a 8.227
_cell_length_b 8.227
_cell_length_c 8.227
_cell_angle_alpha 90.00
_cell_angle_beta 90.00
_cell_angle_gamma 90.00
_symmetry_space_group_name_H-M 'I m -3 m'
_symmetry_Int_Tables_number 229
_symmetry_space_group_name_Hall '-I 4 2 3'
loop_
_atom_site_label
_atom_site_type_symbol
_atom_site_fract_x
_atom_site_fract_y
_atom_site_fract_z
_atom_site_occupancy
Cd1 Cd 0.000 0.000 0.000 1
In1 In 0.000 0.250 0.500 1
```

ΔE to the lowest computed polymorph (eV per atom): 0.359
ΔH_f (0 K) (kJ/mol of atoms): 37.6
M_tot (μB/atom): 0.000



[10]
VASP calculation (GGA-PBE) on a geometry-optimized YNiTe4 structure.

CIF file:
```
data_YNiTe4
_chemical_formula_sum 'Y4 Ni4 Te16'
_cell_length_a 8.790
_cell_length_b 8.790
_cell_length_c 8.790
_cell_angle_alpha 90.00
_cell_angle_beta 90.00
_cell_angle_gamma 90.00
_symmetry_space_group_name_H-M 'F -4 3 m'
_symmetry_Int_Tables_number 216
_symmetry_space_group_name_Hall 'F -4 2 3'
loop_
_atom_site_label
_atom_site_type_symbol
_atom_site_fract_x
_atom_site_fract_y
_atom_site_fract_z
_atom_site_occupancy
Y1 Y 0.000 0.000 0.000 1
Ni1 Ni 0.250 0.250 0.750 1
Te1 Te 0.124 0.124 0.376 1
```

Total DFT energy (no corrections) (eV/atom): -3.69
M_tot (μB/atom): 0.067



[11]
VASP calculation (GGA-PBE) on a geometry-optimized NdTi2Co10 structure.

CIF file:
```
data_NdTi2Co10
_chemical_formula_sum 'Nd2 Ti4 Co20'
_cell_length_a 4.699
_cell_length_b 8.399
_cell_length_c 8.561
_cell_angle_alpha 90.00
_cell_angle_beta 90.00
_cell_angle_gamma 90.00
_symmetry_space_group_name_H-M 'I m m m'
_symmetry_Int_Tables_number 71
_symmetry_space_group_name_Hall '-I 2 2'
loop_
_atom_site_label
_atom_site_type_symbol
_atom_site_fract_x
_atom_site_fract_y
_atom_site_fract_z
_atom_site_occupancy
Nd1 Nd 0.000 0.000 0.000 1
Ti1 Ti 0.000 0.000 0.350 1
Co1 Co 0.000 0.275 0.500 1
Co2 Co 0.000 0.360 0.000 1
Co3 Co 0.000 0.500 0.278 1
Co4 Co 0.250 0.250 0.250 1
```

ΔH_f (0 K) (kJ/mol of atoms): -12.2
M_tot (μB/atom): 0.868



[12]
VASP calculation (GGA-PBE) on a geometry-optimized Tb2PuAg3Se6 structure.

CIF file:
```
data_Tb2PuAg3Se6
_chemical_formula_sum 'Tb4 Pu2 Ag6 Se12'
_cell_length_a 17.696
_cell_length_b 4.220
_cell_length_c 7.992
_cell_angle_alpha 90.00
_cell_angle_beta 98.91
_cell_angle_gamma 90.00
_symmetry_space_group_name_H-M 'C 1 2/m 1'
_symmetry_Int_Tables_number 12
_symmetry_space_group_name_Hall '-C 2y'
loop_
_atom_site_label
_atom_site_type_symbol
_atom_site_fract_x
_atom_site_fract_y
_atom_site_fract_z
_atom_site_occupancy
Tb1 Tb 0.167 0.000 0.342 1
Pu1 Pu 0.000 0.500 0.000 1
Ag1 Ag 0.000 0.500 0.500 1
Ag2 Ag 0.158 0.000 0.857 1
Se1 Se 0.002 0.000 0.252 1
Se2 Se 0.168 0.500 0.094 1
Se3 Se 0.168 0.500 0.591 1
```

Total DFT energy (no corrections) (eV/atom): -5.50
M_tot (μB/atom): 0.417